## La2BeAlAu6 (PBE-GGA)

Data for a geometry-optimized La2BeAlAu6 structure.

Cell: 6.474 7.059 6.500 Å, 61.79 59.76 89.45°
Positions (direct):
Be: 0.000 0.000 0.000
Au: 0.698 0.180 0.055
Au: 0.302 0.820 0.945
Au: 0.243 0.197 0.041
Au: 0.766 0.829 0.482
Au: 0.234 0.171 0.518
Au: 0.757 0.803 0.959
Al: 0.500 0.500 0.000
La: 0.777 0.337 0.441
La: 0.223 0.663 0.559

Results
- density of states at the Fermi level (states/eV/f.u.) = 5.941
- raw total energy (eV per atom) = -4.271

## LaBeAl2Au5 (PBE-GGA)

Data for a geometry-optimized LaBeAl2Au5 structure.

Cell: 4.521 6.153 7.536 Å, 114.10 107.46 90.00°
Positions (direct):
La: 0.000 0.500 0.000
Au: 0.350 0.600 0.700
Au: 0.650 0.899 0.300
Au: 0.650 0.400 0.300
Au: 0.350 0.101 0.700
Au: 0.000 0.000 0.000
Al: 0.195 0.195 0.390
Al: 0.805 0.805 0.610
Be: 0.500 0.000 0.000

Results
- density of states at the Fermi level (states/eV/f.u.) = 4.366
- raw total energy (eV per atom) = -3.997

## LaBe2AlAu5 (PBE-GGA)

Data for a geometry-optimized LaBe2AlAu5 structure.

Cell: 4.430 4.430 8.868 Å, 90.00 90.00 90.00°
Positions (direct):
Au: 0.000 0.500 0.830
Au: 0.500 0.500 0.500
Au: 0.500 0.000 0.170
Au: 0.500 0.000 0.830
Au: 0.000 0.500 0.170
Al: 0.000 0.000 0.000
Be: 0.500 0.500 0.753
Be: 0.500 0.500 0.247
La: 0.000 0.000 0.500

Results
- density of states at the Fermi level (states/eV/f.u.) = 4.512
- raw total energy (eV per atom) = -3.930

## Li2BeAlAu6 (PBE-GGA)

Data for a geometry-optimized Li2BeAlAu6 structure.

Cell: 6.323 6.720 5.502 Å, 68.09 55.02 76.97°
Positions (direct):
Au: 0.382 0.213 0.468
Au: 0.107 0.607 0.090
Au: 0.893 0.393 0.910
Au: 0.683 0.824 0.966
Au: 0.317 0.176 0.034
Au: 0.618 0.787 0.532
Li: 0.190 0.753 0.477
Li: 0.810 0.247 0.523
Al: 0.000 0.000 0.000
Be: 0.500 0.500 0.000

Results
- density of states at the Fermi level (states/eV/f.u.) = 2.690
- raw total energy (eV per atom) = -3.358

Please write out number 2 again, unchanged.
## LaBeAl2Au5 (PBE-GGA)

Data for a geometry-optimized LaBeAl2Au5 structure.

Cell: 4.521 6.153 7.536 Å, 114.10 107.46 90.00°
Positions (direct):
La: 0.000 0.500 0.000
Au: 0.350 0.600 0.700
Au: 0.650 0.899 0.300
Au: 0.650 0.400 0.300
Au: 0.350 0.101 0.700
Au: 0.000 0.000 0.000
Al: 0.195 0.195 0.390
Al: 0.805 0.805 0.610
Be: 0.500 0.000 0.000

Results
- density of states at the Fermi level (states/eV/f.u.) = 4.366
- raw total energy (eV per atom) = -3.997

Among the records above, which one has the lowest density of states at the Fermi level? Li2BeAlAu6